--- A ---
{"formula": "Tb5Sm2Tm12", "functional": "PBE", "state": "optimized geometry", "m_tot_mub_per_fu": 0.0, "crystal_system": "triclinic", "lattice": [[5.888, 1.579, -0.179], [-1.393, 8.446, -6.165], [-0.205, -1.831, 12.542]], "species": ["Tm", "Tb", "Tm", "Tb", "Tm", "Tb", "Tb", "Tm", "Tm", "Tm", "Tm", "Tm", "Sm", "Tm", "Tm", "Tm", "Sm", "Tm", "Tb"], "fractional_positions": [[0.474, 0.052, 0.395], [0.000, 0.000, 0.500], [0.526, 0.948, 0.605], [0.738, 0.526, 0.447], [0.947, 0.104, 0.289], [0.158, 0.684, 0.132], [0.842, 0.316, 0.868], [0.684, 0.632, 0.237], [0.053, 0.896, 0.711], [0.211, 0.580, 0.342], [0.105, 0.788, 0.921], [0.789, 0.420, 0.658], [0.580, 0.842, 0.816], [0.895, 0.212, 0.079], [0.316, 0.368, 0.763], [0.631, 0.735, 0.026], [0.420, 0.158, 0.184], [0.369, 0.265, 0.974], [0.262, 0.474, 0.553]]}

--- B ---
{"formula": "Tb5Sm2Tm12", "functional": "PBE", "state": "optimized geometry", "m_tot_mub_per_fu": 0.0, "crystal_system": "monoclinic", "lattice": [[-1.512, -3.030, 8.549], [2.886, -5.604, -6.421], [7.945, 2.046, 2.130]], "species": ["Sm", "Tm", "Tm", "Tm", "Tb", "Tm", "Tm", "Tb", "Tm", "Tm", "Tm", "Tm", "Sm", "Tm", "Tm", "Tb", "Tb", "Tm", "Tb"], "fractional_positions": [[0.322, 0.000, 0.000], [0.027, 0.697, 0.757], [0.669, 0.697, 0.757], [0.562, 0.742, 0.340], [0.769, 0.538, 0.426], [0.331, 0.303, 0.243], [0.973, 0.303, 0.243], [0.297, 0.594, 0.986], [0.181, 0.742, 0.340], [0.443, 0.887, 0.668], [0.918, 0.836, 0.123], [0.438, 0.258, 0.660], [0.678, 0.000, 0.000], [0.557, 0.113, 0.332], [0.819, 0.258, 0.660], [0.231, 0.462, 0.574], [0.000, 0.000, 0.500], [0.082, 0.164, 0.877], [0.703, 0.406, 0.014]]}

Most stable pick: A. Distance to second place: 10.3 kJ/mol of atoms.

--- A ---
{"formula": "Tb2SmTm9", "functional": "PBE", "state": "optimized geometry", "m_tot_mub_per_fu": 0.0, "crystal_system": "tetragonal", "lattice": [[4.966, 0.000, 0.000], [0.000, 4.966, 0.000], [0.000, 0.000, 14.887]], "species": ["Tm", "Tb", "Tm", "Tm", "Tm", "Sm", "Tm", "Tm", "Tm", "Tb", "Tm", "Tm"], "fractional_positions": [[0.500, 0.000, 0.500], [0.000, 0.000, 0.666], [0.500, 0.000, 0.168], [0.500, 0.000, 0.832], [0.000, 0.500, 0.168], [0.000, 0.000, 0.000], [0.500, 0.500, 0.000], [0.000, 0.500, 0.832], [0.500, 0.500, 0.666], [0.000, 0.000, 0.334], [0.000, 0.500, 0.500], [0.500, 0.500, 0.334]]}

--- B ---
{"formula": "Tb2SmTm9", "functional": "PBE", "state": "optimized geometry", "m_tot_mub_per_fu": 0.0, "crystal_system": "hexagonal", "lattice": [[-2.732, -0.310, -2.134], [-6.190, -3.638, 8.456], [0.512, 10.854, -2.232]], "species": ["Tm", "Tm", "Tm", "Tm", "Tb", "Tm", "Tm", "Tm", "Sm", "Tb", "Tm", "Tm"], "fractional_positions": [[0.500, 0.822, 0.645], [0.500, 0.822, 0.178], [0.500, 0.645, 0.822], [0.500, 0.178, 0.355], [0.000, 0.333, 0.667], [0.000, 0.500, 0.500], [0.500, 0.355, 0.178], [0.000, 0.000, 0.500], [0.000, 0.000, 0.000], [0.000, 0.667, 0.333], [0.500, 0.178, 0.822], [0.000, 0.500, 0.000]]}

Most stable pick: A. Distance to second place: 2.4 kJ/mol of atoms.

--- A ---
{"formula": "TbSm4Tm3", "functional": "PBE", "state": "optimized geometry", "m_tot_mub_per_fu": 0.0, "crystal_system": "orthorhombic", "lattice": [[6.281, 0.000, 0.000], [0.000, 7.278, 0.000], [0.000, 0.000, 11.379]], "species": ["Sm", "Sm", "Tm", "Sm", "Tb", "Sm", "Sm", "Tm", "Tb", "Sm", "Tm", "Tm", "Sm", "Tm", "Tm", "Sm"], "fractional_positions": [[0.144, 0.872, 0.000], [0.481, 0.873, 0.248], [0.481, 0.379, 0.250], [0.981, 0.127, 0.252], [0.149, 0.377, 0.000], [0.644, 0.128, 0.500], [0.650, 0.129, 0.000], [0.148, 0.379, 0.500], [0.649, 0.623, 0.500], [0.481, 0.873, 0.752], [0.981, 0.621, 0.250], [0.981, 0.621, 0.750], [0.981, 0.127, 0.748], [0.648, 0.621, 0.000], [0.481, 0.379, 0.750], [0.150, 0.871, 0.500]]}

--- B ---
{"formula": "TbSm4Tm3", "functional": "PBE", "state": "optimized geometry", "m_tot_mub_per_fu": 0.0, "crystal_system": "orthorhombic", "lattice": [[5.049, 0.000, 0.000], [0.000, 10.072, 0.000], [0.000, 0.000, 10.101]], "species": ["Tm", "Tm", "Sm", "Tb", "Sm", "Sm", "Sm", "Tm", "Tm", "Tb", "Tm", "Sm", "Sm", "Tm", "Sm", "Sm"], "fractional_positions": [[0.564, 0.379, 0.750], [0.064, 0.378, 0.500], [0.564, 0.129, 0.500], [0.564, 0.621, 0.500], [0.564, 0.872, 0.250], [0.064, 0.872, 0.500], [0.064, 0.871, 0.000], [0.564, 0.622, 0.000], [0.564, 0.379, 0.250], [0.064, 0.379, 0.000], [0.064, 0.621, 0.250], [0.564, 0.872, 0.750], [0.564, 0.128, 0.000], [0.064, 0.621, 0.750], [0.064, 0.128, 0.250], [0.064, 0.128, 0.750]]}

Most stable pick: A. Distance to second place: 0.5 kJ/mol of atoms.

--- A ---
{"formula": "TbSmYTm", "functional": "PBE", "state": "optimized geometry", "m_tot_mub_per_fu": 0.0, "crystal_system": "cubic", "lattice": [[5.683, 0.000, 0.000], [2.842, 4.922, 0.000], [2.842, 1.641, 4.640]], "species": ["Tb", "Sm", "Tm", "Y"], "fractional_positions": [[0.750, 0.750, 0.750], [0.000, 0.000, 0.000], [0.250, 0.250, 0.250], [0.500, 0.500, 0.500]]}

--- B ---
{"formula": "TbSmYTm", "functional": "PBE", "state": "optimized geometry", "m_tot_mub_per_fu": 0.0, "crystal_system": "tetragonal", "lattice": [[-3.677, -3.323, -0.942], [3.093, -2.555, -3.057], [1.823, 0.144, 5.884]], "species": ["Sm", "Tm", "Y", "Tb"], "fractional_positions": [[0.120, 0.120, 0.240], [0.620, 0.620, 0.240], [0.370, 0.870, 0.740], [0.870, 0.370, 0.739]]}

Most stable pick: B. Distance to second place: 11.0 kJ/mol of atoms.

--- A ---
{"formula": "TbSmTmZn", "functional": "PBE", "state": "optimized geometry", "m_tot_mub_per_fu": 0.0, "crystal_system": "cubic", "lattice": [[-4.228, -2.334, -2.295], [-2.209, -4.324, 2.239], [-4.817, 0.344, 2.296]], "species": ["Tb", "Tm", "Zn", "Sm"], "fractional_positions": [[0.750, 0.750, 0.750], [0.500, 0.500, 0.500], [0.000, 0.000, 0.000], [0.250, 0.250, 0.250]]}

--- B ---
{"formula": "TbSmTmZn", "functional": "PBE", "state": "optimized geometry", "m_tot_mub_per_fu": 0.0, "crystal_system": "tetragonal", "lattice": [[3.565, 0.000, 0.000], [0.000, 3.565, 0.000], [0.000, 0.000, 8.657]], "species": ["Tm", "Tb", "Zn", "Sm"], "fractional_positions": [[0.500, 0.500, 0.369], [0.500, 0.500, 0.776], [0.000, 0.000, 0.565], [0.000, 0.000, 0.075]]}

Most stable pick: B. Distance to second place: 18.0 kJ/mol of atoms.